# 1
The following is a PBE calculation of a relaxed structure of ZnAsBr2, from the Alexandria database.

a b c (Å): 9.6650 9.6650 9.6650
angles (deg): 20.89 20.89 20.89
Fractional coordinates of all 4 atoms:
Br 0.9108 0.9108 0.9108
Br 0.0892 0.0892 0.0892
As 0.5000 0.5000 0.5000
Zn 0.0000 0.0000 0.0000

Values from the calculation:
Magnetic moment, μB per formula unit: 0.0
Energy, eV per cell: -8.238
Symmetry: R-3m
N(E_F), states/eV per atom: 0.3900

---

# 2
The following is a PBE calculation of a relaxed structure of Zn2AsBr, from the Alexandria database.

a b c (Å): 7.3829 7.3829 7.3829
angles (deg): 31.68 31.68 31.68
Fractional coordinates of all 4 atoms:
Br 0.7247 0.7247 0.7247
As 0.5502 0.5502 0.5502
Zn 0.9846 0.9846 0.9846
Zn 0.2406 0.2406 0.2406

Values from the calculation:
Magnetic moment, μB per formula unit: 0.0
Energy, eV per cell: -9.195
Symmetry: R3m
N(E_F), states/eV per atom: 0.0903

---

# 3
The following is a PBE calculation of a relaxed structure of ZrZnAsBr2, from the Alexandria database.

a b c (Å): 5.3337 5.3337 5.3447
angles (deg): 90.00 90.00 90.00
Fractional coordinates of all 5 atoms:
Br 0.5000 0.0000 0.0000
Zr 0.0000 0.0000 0.0000
Zn 0.5000 0.5000 0.5000
As 0.0000 0.0000 0.5000
Br 0.0000 0.5000 0.0000

Values from the calculation:
Magnetic moment, μB per formula unit: 0.0
Energy, eV per cell: -19.387
Symmetry: P4/mmm
N(E_F), states/eV per atom: 0.5861

---

# 4
The following is a PBE calculation of a relaxed structure of ZrZnAs2Br, from the Alexandria database.

a b c (Å): 5.2468 5.2468 5.3464
angles (deg): 90.00 90.00 90.00
Fractional coordinates of all 5 atoms:
Zr 0.0000 0.0000 0.0000
Br 0.0000 0.0000 0.5000
Zn 0.5000 0.5000 0.5000
As 0.0000 0.5000 0.0000
As 0.5000 0.0000 0.0000

Values from the calculation:
Magnetic moment, μB per formula unit: 0.0
Energy, eV per cell: -20.581
Symmetry: P4/mmm
N(E_F), states/eV per atom: 0.9824

---

# 5
The following is a PBE calculation of a relaxed structure of ZrZnAsBr2, from the Alexandria database.

a b c (Å): 4.9025 4.9025 5.1636
angles (deg): 90.00 90.00 90.00
Each line ends with the local moment (μB).
Fractional coordinates of all 5 atoms:
Br 0.0000 0.5000 0.0000  -0.04
Zn 0.0000 0.0000 0.0000  0.00
Br 0.5000 0.0000 0.0000  -0.04
Zr 0.5000 0.5000 0.5000  0.94
As 0.0000 0.0000 0.5000  -0.12

Values from the calculation:
Magnetic moment, μB per formula unit: 1.0
Energy, eV per cell: -16.525
Symmetry: P4/mmm
N(E_F), states/eV per atom: 1.0071

---

# 6
The following is a PBE calculation of a relaxed structure of ZrZnAs2Br, from the Alexandria database.

a b c (Å): 4.7557 4.7557 5.1133
angles (deg): 90.00 90.00 90.00
Each line ends with the local moment (μB).
Fractional coordinates of all 5 atoms:
Zr 0.5000 0.5000 0.5000  0.52
As 0.5000 0.0000 0.0000  -0.03
Zn 0.0000 0.0000 0.0000  0.01
As 0.0000 0.5000 0.0000  -0.03
Br 0.0000 0.0000 0.5000  -0.03

Values from the calculation:
Magnetic moment, μB per formula unit: 0.6
Energy, eV per cell: -18.844
Symmetry: P4/mmm
N(E_F), states/eV per atom: 0.7617

---

# 7
The following is a PBE calculation of a relaxed structure of ZrZnAs2Br, from the Alexandria database.

a b c (Å): 5.2335 4.9282 5.2335
angles (deg): 90.00 90.00 90.00
Fractional coordinates of all 5 atoms:
Br 0.0000 0.0000 0.0000
Zn 0.5000 0.5000 0.5000
As 0.5000 0.0000 0.0000
As 0.0000 0.0000 0.5000
Zr 0.0000 0.5000 0.0000

Values from the calculation:
Magnetic moment, μB per formula unit: 0.0
Energy, eV per cell: -15.868
Symmetry: P4/mmm
N(E_F), states/eV per atom: 0.8473

---

# 8
The following is a PBE calculation of a relaxed structure of Zr3AsBr, from the Alexandria database.

a b c (Å): 5.1004 5.1004 5.1004
angles (deg): 90.00 90.00 90.00
Fractional coordinates of all 5 atoms:
Zr 0.0000 0.0000 0.5000
Zr 0.0000 0.5000 0.0000
Zr 0.5000 0.0000 0.0000
As 0.0000 0.0000 0.0000
Br 0.5000 0.5000 0.5000

Values from the calculation:
Magnetic moment, μB per formula unit: 0.0
Energy, eV per cell: -30.657
Symmetry: Pm-3m
N(E_F), states/eV per atom: 1.7286

---

# 9
The following is a PBE calculation of a relaxed structure of ZrAsBr4, from the Alexandria database.

a b c (Å): 5.9752 5.9752 5.9752
angles (deg): 60.00 60.00 60.00
Fractional coordinates of all 6 atoms:
Br 0.3754 0.3754 0.8737
Zr 0.7500 0.7500 0.7500
Br 0.3754 0.3754 0.3754
Br 0.8737 0.3754 0.3754
As 0.0000 0.0000 0.0000
Br 0.3754 0.8737 0.3754

Values from the calculation:
Magnetic moment, μB per formula unit: 0.0
Energy, eV per cell: -15.467
Symmetry: F-43m
N(E_F), states/eV per atom: 1.4254

---

# 10
The following is a PBE calculation of a relaxed structure of Zr2As2Br, from the Alexandria database.

a b c (Å): 7.6284 7.6284 3.5626
angles (deg): 90.00 90.00 90.00
Fractional coordinates of all 10 atoms:
Zr 0.8501 0.6499 0.0000
Zr 0.3501 0.8501 0.0000
As 0.1379 0.6379 0.5000
Zr 0.6499 0.1499 0.0000
Br 0.5000 0.5000 0.0000
As 0.6379 0.8621 0.5000
As 0.8621 0.3621 0.5000
Br 0.0000 0.0000 0.0000
Zr 0.1499 0.3501 0.0000
As 0.3621 0.1379 0.5000

Values from the calculation:
Magnetic moment, μB per formula unit: 0.0
Energy, eV per cell: -65.765
Symmetry: P4/mbm
N(E_F), states/eV per atom: 0.2702

---

# 11
The following is a PBE calculation of a relaxed structure of ZrAs4Br, from the Alexandria database.

a b c (Å): 5.5995 5.5995 5.5995
angles (deg): 60.00 60.00 60.00
Fractional coordinates of all 6 atoms:
As 0.3735 0.3735 0.3735
Br 0.7500 0.7500 0.7500
Zr 0.0000 0.0000 0.0000
As 0.3735 0.8794 0.3735
As 0.8794 0.3735 0.3735
As 0.3735 0.3735 0.8794

Values from the calculation:
Magnetic moment, μB per formula unit: 0.0
Energy, eV per cell: -28.100
Symmetry: F-43m
N(E_F), states/eV per atom: 0.6180

---

# 12
The following is a PBE calculation of a relaxed structure of AsC, from the Alexandria database.

a b c (Å): 10.1497 10.3222 5.1943
angles (deg): 90.00 90.00 90.00
Fractional coordinates of all 32 atoms:
As 0.0000 0.6479 0.0000
As 0.7500 0.3979 0.7500
As 0.7500 0.1021 0.7500
C 0.3527 0.5000 0.5000
C 0.1473 0.5000 0.0000
As 0.0000 0.1479 0.5000
C 0.3973 0.7500 0.7500
C 0.3527 0.0000 0.0000
C 0.8527 0.0000 0.5000
As 0.0000 0.3521 0.0000
As 0.5000 0.3521 0.5000
As 0.5000 0.6479 0.5000
C 0.1027 0.7500 0.7500
As 0.2500 0.6021 0.7500
C 0.1473 0.0000 0.5000
C 0.8527 0.5000 0.0000
C 0.6027 0.7500 0.2500
As 0.7500 0.6021 0.2500
C 0.1027 0.2500 0.2500
C 0.8973 0.2500 0.7500
C 0.3973 0.2500 0.2500
C 0.8973 0.7500 0.2500
As 0.2500 0.1021 0.2500
As 0.2500 0.3979 0.2500
C 0.6473 0.0000 0.0000
C 0.6473 0.5000 0.5000
C 0.6027 0.2500 0.7500
As 0.5000 0.1479 0.0000
As 0.0000 0.8521 0.5000
As 0.5000 0.8521 0.0000
As 0.7500 0.8979 0.2500
As 0.2500 0.8979 0.7500

Values from the calculation:
Magnetic moment, μB per formula unit: 0.0
Energy of formation, eV/atom: 1.51
Energy, eV per cell: -173.565
Symmetry: Fddd
N(E_F), states/eV per atom: 0.3901

---

# 13
The following is a PBE calculation of a relaxed structure of As2C, from the Alexandria database.

a b c (Å): 4.1050 4.1050 5.6236
angles (deg): 90.00 90.00 90.00
Fractional coordinates of all 6 atoms:
C 0.5000 0.0000 0.8673
As 0.5000 0.0000 0.5102
As 0.5000 0.5000 0.0000
C 0.0000 0.5000 0.1327
As 0.0000 0.0000 0.0000
As 0.0000 0.5000 0.4898

Values from the calculation:
Magnetic moment, μB per formula unit: 0.0
Energy of formation, eV/atom: 1.07
Energy, eV per cell: -30.644
Symmetry: P4/nmm
N(E_F), states/eV per atom: 0.4477

---

# 14
The following is a PBE calculation of a relaxed structure of AsC4, from the Alexandria database.

a b c (Å): 2.8782 2.8782 5.7582
angles (deg): 90.00 90.00 120.00
Fractional coordinates of all 5 atoms:
C 0.3333 0.6667 0.1983
C 0.6667 0.3333 0.8017
C 0.6667 0.3333 0.5520
As 0.0000 0.0000 0.0000
C 0.3333 0.6667 0.4480

Values from the calculation:
Magnetic moment, μB per formula unit: 0.0
Energy of formation, eV/atom: 1.22
Energy, eV per cell: -35.435
Symmetry: P-3m1
N(E_F), states/eV per atom: 0.3569

---

# 15
The following is a PBE calculation of a relaxed structure of AsC, from the Alexandria database.

a b c (Å): 4.8876 3.1303 11.6623
angles (deg): 90.00 113.07 90.00
Fractional coordinates of all 8 atoms:
C 0.4070 0.0000 0.5301
As 0.7428 0.0000 0.9086
As 0.7428 0.5000 0.4086
C 0.4070 0.5000 0.0301
As 0.2572 0.5000 0.5914
As 0.2572 0.0000 0.0914
C 0.5930 0.0000 0.4699
C 0.5930 0.5000 0.9699

Values from the calculation:
Magnetic moment, μB per formula unit: 0.0
Energy of formation, eV/atom: 0.63
Energy, eV per cell: -50.436
Symmetry: C2/m
N(E_F), states/eV per atom: 0.0452

---

# 16
The following is a PBE calculation of a relaxed structure of As3C4, from the Alexandria database.

a b c (Å): 4.2950 4.2950 4.2950
angles (deg): 90.00 90.00 90.00
Each line ends with the local moment (μB).
Fractional coordinates of all 7 atoms:
C 0.0000 0.0000 0.0000  0.02
As 0.0000 0.5000 0.0000  0.00
C 0.0000 0.5000 0.5000  0.14
As 0.0000 0.0000 0.5000  0.00
C 0.5000 0.5000 0.0000  0.14
C 0.5000 0.0000 0.5000  0.14
As 0.5000 0.0000 0.0000  0.00

Values from the calculation:
Magnetic moment, μB per formula unit: 0.8
Energy of formation, eV/atom: 1.98
Energy, eV per cell: -36.960
Symmetry: Pm-3m
N(E_F), states/eV per atom: 0.3948

---

# 17
The following is a PBE calculation of a relaxed structure of AsC, from the Alexandria database.

a b c (Å): 8.0740 8.0740 5.6926
angles (deg): 76.55 76.55 19.38
Fractional coordinates of all 6 atoms:
As 0.7211 0.7211 0.3338
C 0.9927 0.9927 0.8056
As 0.4166 0.4166 0.9271
C 0.0772 0.0772 0.6573
C 0.6164 0.6164 0.5831
As 0.3427 0.3427 0.5266

Values from the calculation:
Magnetic moment, μB per formula unit: 0.0
Energy of formation, eV/atom: 0.69
Energy, eV per cell: -37.501
Symmetry: Cm
N(E_F), states/eV per atom: 0.2332

---

# 18
The following is a PBE calculation of a relaxed structure of As2C, from the Alexandria database.

a b c (Å): 5.6520 5.6520 5.6520
angles (deg): 90.00 90.00 90.00
Fractional coordinates of all 12 atoms:
As 0.1320 0.8680 0.6320
C 0.0000 0.5000 0.5000
C 0.5000 0.5000 0.0000
As 0.3680 0.3680 0.6320
As 0.1320 0.6320 0.1320
As 0.6320 0.6320 0.3680
As 0.3680 0.1320 0.1320
As 0.8680 0.1320 0.3680
As 0.6320 0.8680 0.8680
C 0.5000 0.0000 0.5000
As 0.8680 0.3680 0.8680
C 0.0000 0.0000 0.0000

Values from the calculation:
Magnetic moment, μB per formula unit: 0.0
Energy of formation, eV/atom: 1.38
Energy, eV per cell: -57.558
Symmetry: Pa-3
N(E_F), states/eV per atom: 0.6667

---

# 19
The following is a PBE calculation of a relaxed structure of AsC, from the Alexandria database.

a b c (Å): 5.4021 3.3729 8.1720
angles (deg): 90.00 127.51 90.00
Fractional coordinates of all 8 atoms:
C 0.2127 0.5000 0.4620
As 0.1846 0.0000 0.2962
As 0.7047 0.0000 0.7269
C 0.2127 0.0000 0.9620
As 0.7047 0.5000 0.2269
C 0.4386 0.0000 0.1889
As 0.1846 0.5000 0.7962
C 0.4386 0.5000 0.6889

Values from the calculation:
Magnetic moment, μB per formula unit: 0.0
Energy of formation, eV/atom: 1.10
Energy, eV per cell: -46.675
Symmetry: Cm
N(E_F), states/eV per atom: 0.0955

---

# 20
The following is a PBE calculation of a relaxed structure of As2C, from the Alexandria database.

a b c (Å): 12.1538 12.1538 12.1538
angles (deg): 166.35 166.40 19.31
Fractional coordinates of all 6 atoms:
As 0.9477 0.1977 0.7500
As 0.1663 0.9163 0.2500
As 0.8337 0.0837 0.7500
As 0.0523 0.8023 0.2500
C 0.6763 0.4263 0.2500
C 0.3237 0.5737 0.7500

Values from the calculation:
Magnetic moment, μB per formula unit: 0.0
Energy of formation, eV/atom: 1.26
Energy, eV per cell: -29.513
Symmetry: Imma
N(E_F), states/eV per atom: 0.4246

---

# 21
The following is a PBE calculation of a relaxed structure of As4C3, from the Alexandria database.

a b c (Å): 11.1470 11.1470 11.1470
angles (deg): 164.16 164.16 22.48
Fractional coordinates of all 7 atoms:
As 0.1967 0.1967 0.0000
As 0.4455 0.4455 0.0000
As 0.8033 0.8033 0.0000
C 0.2898 0.2898 0.0000
C 0.0000 0.0000 0.0000
As 0.5545 0.5545 0.0000
C 0.7102 0.7102 0.0000

Values from the calculation:
Magnetic moment, μB per formula unit: 0.0
Energy of formation, eV/atom: 1.50
Energy, eV per cell: -35.775
Symmetry: I4/mmm
N(E_F), states/eV per atom: 0.3343

---

# 22
The following is a PBE calculation of a relaxed structure of As8C, from the Alexandria database.

a b c (Å): 7.6226 7.6226 7.6226
angles (deg): 92.56 92.56 155.59
Fractional coordinates of all 9 atoms:
As 0.0000 0.6475 0.6475
As 0.3772 0.6228 0.0000
C 0.0000 0.0000 0.0000
As 0.6475 0.0000 0.6475
As 0.3772 0.3772 0.7545
As 0.6228 0.3772 0.0000
As 0.6228 0.6228 0.2455
As 0.3525 0.0000 0.3525
As 0.0000 0.3525 0.3525

Values from the calculation:
Magnetic moment, μB per formula unit: 0.0
Energy of formation, eV/atom: 0.74
Energy, eV per cell: -39.759
Symmetry: I4/mmm
N(E_F), states/eV per atom: 0.2811

---

# 23
The following is a PBE calculation of a relaxed structure of As2C, from the Alexandria database.

a b c (Å): 6.0678 6.0678 6.4613
angles (deg): 73.72 73.72 28.78
Fractional coordinates of all 6 atoms:
C 0.9760 0.9760 0.3571
As 0.9051 0.9051 0.1081
As 0.4125 0.4125 0.5621
C 0.2880 0.2880 0.1872
As 0.6554 0.6554 0.2674
As 0.5964 0.5964 0.6847

Values from the calculation:
Magnetic moment, μB per formula unit: 0.0
Energy of formation, eV/atom: 0.99
Energy, eV per cell: -31.087
Symmetry: Cm
N(E_F), states/eV per atom: 0.2036

---

# 24
The following is a PBE calculation of a relaxed structure of AsC, from the Alexandria database.

a b c (Å): 10.0691 3.1098 5.3129
angles (deg): 90.00 90.00 90.00
Fractional coordinates of all 12 atoms:
As 0.6805 0.8127 0.7813
As 0.3195 0.8127 0.7813
As 0.1805 0.1873 0.2813
C 0.7246 0.6985 0.1390
C 0.5000 0.0324 0.9486
C 0.0000 0.9676 0.4486
As 0.0000 0.4267 0.7129
C 0.7754 0.3015 0.6390
As 0.8195 0.1873 0.2813
C 0.2754 0.6985 0.1390
C 0.2246 0.3015 0.6390
As 0.5000 0.5733 0.2129

Values from the calculation:
Magnetic moment, μB per formula unit: 0.0
Energy of formation, eV/atom: 1.26
Energy, eV per cell: -68.097
Symmetry: Pmn2_1
N(E_F), states/eV per atom: 0.1751

---

# 25
The following is a PBE calculation of a relaxed structure of AsC, from the Alexandria database.

a b c (Å): 5.0775 5.0775 7.3204
angles (deg): 90.00 90.00 144.80
Fractional coordinates of all 4 atoms:
As 0.5000 0.5000 0.6712
C 0.5000 0.5000 0.2184
C 0.0000 0.0000 0.5316
As 0.0000 0.0000 0.0788

Values from the calculation:
Magnetic moment, μB per formula unit: 0.0
Energy of formation, eV/atom: 1.83
Energy, eV per cell: -20.440
Symmetry: Cmme
N(E_F), states/eV per atom: 0.2521